Record 1
DFT (PBE) results for crystalline BaV2Sb2 at its relaxed geometry.

```
5
Lattice="4.076 0.000 0.000 0.000 4.076 0.000 2.038 2.038 7.639" Properties=species:S:1:pos:R:3 pbc="T T T"
Sb 2.038 2.038 2.051
V 2.038 4.076 3.819
V 4.076 2.038 3.819
Sb 4.076 4.076 5.588
Ba 0.000 0.000 0.000
```

Output
space group: I4/mmm (139)
formation energy (no corrections): -0.307 eV per atom
Fermi-level density of states: 4.010 states/eV/cell

---

Record 2
DFT (PBE) results for crystalline BaVSb at its relaxed geometry.

```
6
Lattice="-1.600 -3.497 -1.488 0.851 -1.903 3.558 -10.183 2.950 4.015" Properties=species:S:1:pos:R:3 pbc="T T T"
Sb -3.069 0.061 3.157
Ba -2.720 -1.192 0.013
Sb -7.489 0.189 1.893
V -5.466 -1.225 3.042
Ba -7.838 1.442 5.037
V -5.092 1.475 2.007
```

Output
space group: P4/nmm (129)
formation energy (no corrections): -0.325 eV per atom
Fermi-level density of states: 4.569 states/eV/cell

---

Record 3
DFT (PBE) results for crystalline BaV4Sb12 at its relaxed geometry.

```
17
Lattice="8.391 0.000 0.000 -2.797 7.911 0.000 -2.797 -3.956 6.851" Properties=species:S:1:pos:R:3 pbc="T T T"
Ba 0.000 0.000 0.000
Sb -1.075 0.760 3.426
Sb -1.722 5.324 2.371
Sb 1.722 0.609 5.796
Sb 3.872 3.195 3.425
V -1.398 -1.978 3.426
V 4.195 0.000 0.000
Sb 0.000 -1.826 5.796
Sb 2.797 -0.151 2.371
V -1.398 3.956 0.000
Sb 1.075 3.347 1.055
V 1.398 1.978 3.426
Sb 4.519 -1.369 4.480
Sb 2.797 5.782 1.055
Sb 5.594 1.978 1.316
Sb -2.797 1.978 5.535
Sb 0.000 4.107 4.480
```

Output
space group: Im-3 (204)
formation energy (no corrections): -0.082 eV per atom
Fermi-level density of states: 13.776 states/eV/cell

---

Record 4
DFT (PBE) results for crystalline BaVSb2 at its relaxed geometry.

```
8
Lattice="6.065 0.000 0.000 0.000 6.065 0.000 3.033 3.033 8.176" Properties=species:S:1:pos:R:3 pbc="T T T"
V 3.033 6.065 4.088
Sb 2.957 4.549 2.044
V 3.033 3.033 0.000
Sb 7.581 6.140 6.132
Ba 6.065 3.033 4.088
Ba 0.000 0.000 0.000
Sb 4.549 5.990 6.132
Sb 3.108 1.516 2.044
```

Output
polymorph energy (0 for the lowest one): 0.184 eV per atom
space group: I-42d (122)
formation energy (no corrections): -0.152 eV per atom
Fermi-level density of states: 3.938 states/eV/cell

---

Record 5
DFT (PBE) results for crystalline Ba2VSb at its relaxed geometry.

```
8
Lattice="-2.606 -1.947 8.642 -1.664 -8.740 -2.471 1.192 -6.206 3.894" Properties=species:S:1:pos:R:3 pbc="T T T"
Sb 0.000 0.000 0.000
Ba -1.090 -7.274 0.585
V -1.303 -10.145 2.254
Ba -2.827 -13.929 8.342
Ba -0.722 -8.738 5.213
V -2.135 -5.344 3.085
Ba -1.516 -3.844 5.990
Sb -1.774 -6.748 7.811
```

Output
space group: I-42d (122)
formation energy (no corrections): 0.318 eV per atom
Fermi-level density of states: 6.240 states/eV/cell

---

Record 6
DFT (PBE) results for crystalline BaVSb2 at its relaxed geometry.

```
4
Lattice="-4.054 1.751 -0.078 -3.379 -2.327 -1.633 -3.762 -2.876 5.912" Properties=species:S:1:pos:R:3 pbc="T T T"
Sb -8.502 -2.809 3.681
Ba -5.598 -1.726 2.100
V 0.000 0.000 0.000
Sb -2.694 -0.644 0.520
```

Output
polymorph energy (0 for the lowest one): 0.000 eV per atom
space group: R-3m (166)
formation energy (no corrections): -0.335 eV per atom
Fermi-level density of states: 4.426 states/eV/cell

---

Record 7
DFT (PBE) results for crystalline Ba2VSb2 at its relaxed geometry.

```
10
Lattice="-7.368 -5.999 2.140 -0.664 -2.532 -9.381 2.564 -2.932 0.610" Properties=species:S:1:pos:R:3 pbc="T T T"
Ba -6.821 -6.810 -4.060
Sb -0.434 -4.203 -5.634
Ba -3.295 -4.413 -7.361
Ba -1.211 -1.720 -3.180
Sb -4.221 -7.595 -6.019
V 0.000 0.000 0.000
Sb -1.246 -3.867 -0.611
Sb -5.033 -7.260 -0.997
Ba -4.737 -4.118 0.121
V -4.016 -4.265 -3.620
```

Output
polymorph energy (0 for the lowest one): 0.000 eV per atom
space group: P4/mbm (127)
formation energy (no corrections): 0.095 eV per atom
Fermi-level density of states: 13.980 states/eV/cell

---

Record 8
DFT (PBE) results for crystalline Ba2ZrVSb at its relaxed geometry.

```
5
Lattice="5.909 0.000 0.000 0.000 4.925 0.000 0.000 0.000 5.909" Properties=species:S:1:pos:R:3 pbc="T T T"
Ba 2.955 0.000 0.000
Sb 2.955 2.462 2.955
Zr 0.000 2.462 0.000
V 0.000 0.000 0.000
Ba 0.000 0.000 2.955
```

Output
space group: P4/mmm (123)
formation energy (no corrections): 0.511 eV per atom
Fermi-level density of states: 4.288 states/eV/cell

---

Q: Which value of Fermi-level density of states does entry 8 give?
A: 4.288 states/eV/cell